# 1
# Be2GeH6 GGA-PBE relaxed
data_Be2GeH6
_chemical_formula_sum 'Be2 Ge1 H6'
_cell_length_a 4.4082
_cell_length_b 4.4082
_cell_length_c 4.4082
_cell_angle_alpha 60.00
_cell_angle_beta 60.00
_cell_angle_gamma 60.00
_space_group_name_H-M_alt 'P 1'
_space_group_IT_number 1
loop_
_space_group_symop_operation_xyz
'x,y,z'
loop_
_atom_site_label
_atom_site_fract_x
_atom_site_fract_y
_atom_site_fract_z
_atom_site_occupancy
Be1 0.7500 0.7500 0.7500 1
Be2 0.2500 0.2500 0.2500 1
Ge1 0.0000 0.0000 0.0000 1
H1 0.2831 0.7169 0.7169 1
H2 0.7169 0.7169 0.2831 1
H3 0.7169 0.2831 0.7169 1
H4 0.7169 0.2831 0.2831 1
H5 0.2831 0.2831 0.7169 1
H6 0.2831 0.7169 0.2831 1
# Space group: Fm-3m (225)
# Energy, eV/atom: -2.659
# DOS(E_F), states/eV/atom: 0.200


# 2
# BeGe2H GGA-PBE relaxed
data_BeGe2H
_chemical_formula_sum 'Be1 Ge2 H1'
_cell_length_a 4.1131
_cell_length_b 4.1131
_cell_length_c 4.1131
_cell_angle_alpha 60.00
_cell_angle_beta 60.00
_cell_angle_gamma 60.00
_space_group_name_H-M_alt 'P 1'
_space_group_IT_number 1
loop_
_space_group_symop_operation_xyz
'x,y,z'
loop_
_atom_site_label
_atom_site_fract_x
_atom_site_fract_y
_atom_site_fract_z
_atom_site_occupancy
Be1 0.5000 0.5000 0.5000 1
Ge1 0.2500 0.2500 0.2500 1
Ge2 0.7500 0.7500 0.7500 1
H1 0.0000 0.0000 0.0000 1
# Space group: Fm-3m (225)
# Offset from the most stable computed form, meV/atom: 36.2
# Energy, eV/atom: -3.506
# DOS(E_F), states/eV/atom: 0.429


# 3
# BeGeH3 GGA-PBE relaxed
data_BeGeH3
_chemical_formula_sum 'Be1 Ge1 H3'
_cell_length_a 3.6464
_cell_length_b 3.6464
_cell_length_c 3.6464
_cell_angle_alpha 90.00
_cell_angle_beta 90.00
_cell_angle_gamma 90.00
_space_group_name_H-M_alt 'P 1'
_space_group_IT_number 1
loop_
_space_group_symop_operation_xyz
'x,y,z'
loop_
_atom_site_label
_atom_site_fract_x
_atom_site_fract_y
_atom_site_fract_z
_atom_site_occupancy
Be1 0.5000 0.5000 0.5000 1
Ge1 0.0000 0.0000 0.0000 1
H1 0.0000 0.5000 0.0000 1
H2 0.0000 0.0000 0.5000 1
H3 0.5000 0.0000 0.0000 1
# Space group: Pm-3m (221)
# Offset from the most stable computed form, meV/atom: 374.8
# Energy, eV/atom: -2.761
# DOS(E_F), states/eV/atom: 0.196


# 4
# Be3GeH GGA-PBE relaxed
data_Be3GeH
_chemical_formula_sum 'Be3 Ge1 H1'
_cell_length_a 3.5658
_cell_length_b 3.5658
_cell_length_c 3.5658
_cell_angle_alpha 90.00
_cell_angle_beta 90.00
_cell_angle_gamma 90.00
_space_group_name_H-M_alt 'P 1'
_space_group_IT_number 1
loop_
_space_group_symop_operation_xyz
'x,y,z'
loop_
_atom_site_label
_atom_site_fract_x
_atom_site_fract_y
_atom_site_fract_z
_atom_site_occupancy
Be1 0.0000 0.5000 0.0000 1
Be2 0.0000 0.0000 0.5000 1
Be3 0.5000 0.0000 0.0000 1
Ge1 0.5000 0.5000 0.5000 1
H1 0.0000 0.0000 0.0000 1
# Space group: Pm-3m (221)
# Offset from the most stable computed form, meV/atom: 0.0
# Energy, eV/atom: -3.373
# DOS(E_F), states/eV/atom: 0.201


# 5
# BeGe3H GGA-PBE relaxed
data_BeGe3H
_chemical_formula_sum 'Be1 Ge3 H1'
_cell_length_a 4.1688
_cell_length_b 4.1688
_cell_length_c 4.1688
_cell_angle_alpha 90.00
_cell_angle_beta 90.00
_cell_angle_gamma 90.00
_space_group_name_H-M_alt 'P 1'
_space_group_IT_number 1
loop_
_space_group_symop_operation_xyz
'x,y,z'
loop_
_atom_site_label
_atom_site_fract_x
_atom_site_fract_y
_atom_site_fract_z
_atom_site_occupancy
Be1 0.5000 0.5000 0.5000 1
Ge1 0.0000 0.5000 0.0000 1
Ge2 0.0000 0.0000 0.5000 1
Ge3 0.5000 0.0000 0.0000 1
H1 0.0000 0.0000 0.0000 1
# Space group: Pm-3m (221)
# Offset from the most stable computed form, meV/atom: 0.0
# Energy, eV/atom: -3.525
# DOS(E_F), states/eV/atom: 0.460


# 6
# MgBeGeH2 GGA-PBE relaxed
data_MgBeGeH2
_chemical_formula_sum 'Mg1 Be1 Ge1 H2'
_cell_length_a 3.6459
_cell_length_b 4.8076
_cell_length_c 3.6459
_cell_angle_alpha 90.00
_cell_angle_beta 90.00
_cell_angle_gamma 90.00
_space_group_name_H-M_alt 'P 1'
_space_group_IT_number 1
loop_
_space_group_symop_operation_xyz
'x,y,z'
loop_
_atom_site_label
_atom_site_fract_x
_atom_site_fract_y
_atom_site_fract_z
_atom_site_occupancy
Be1 0.0000 0.5000 0.0000 1
Ge1 0.0000 0.0000 0.0000 1
Mg1 0.5000 0.5000 0.5000 1
H1 0.0000 0.0000 0.5000 1
H2 0.5000 0.0000 0.0000 1
# Space group: P4/mmm (123)
# Energy, eV/atom: -2.849
# DOS(E_F), states/eV/atom: 0.271


# 7
# Mn2BeGeH GGA-PBE relaxed
data_Mn2BeGeH
_chemical_formula_sum 'Mn2 Be1 Ge1 H1'
_cell_length_a 3.6838
_cell_length_b 3.6838
_cell_length_c 3.5738
_cell_angle_alpha 90.00
_cell_angle_beta 90.00
_cell_angle_gamma 90.00
_space_group_name_H-M_alt 'P 1'
_space_group_IT_number 1
loop_
_space_group_symop_operation_xyz
'x,y,z'
loop_
_atom_site_label
_atom_site_fract_x
_atom_site_fract_y
_atom_site_fract_z
_atom_site_occupancy
Be1 0.0000 0.0000 0.5000 1
Ge1 0.5000 0.5000 0.5000 1
Mn1 0.0000 0.5000 0.0000 1
Mn2 0.5000 0.0000 0.0000 1
H1 0.0000 0.0000 0.0000 1
# Space group: P4/mmm (123)
# Energy, eV/atom: -6.043
# DOS(E_F), states/eV/atom: 0.406


# 8
# BeNi2GeH GGA-PBE relaxed
data_BeNi2GeH
_chemical_formula_sum 'Be1 Ni2 Ge1 H1'
_cell_length_a 3.6591
_cell_length_b 3.6591
_cell_length_c 3.4433
_cell_angle_alpha 90.00
_cell_angle_beta 90.00
_cell_angle_gamma 90.00
_space_group_name_H-M_alt 'P 1'
_space_group_IT_number 1
loop_
_space_group_symop_operation_xyz
'x,y,z'
loop_
_atom_site_label
_atom_site_fract_x
_atom_site_fract_y
_atom_site_fract_z
_atom_site_occupancy
Ni1 0.0000 0.5000 0.0000 1
Ni2 0.5000 0.0000 0.0000 1
Ge1 0.5000 0.5000 0.5000 1
H1 0.0000 0.0000 0.0000 1
Be1 0.0000 0.0000 0.5000 1
# Space group: P4/mmm (123)
# Energy, eV/atom: -4.759
# DOS(E_F), states/eV/atom: 0.479


# 9
# BeGe2HO6 GGA-PBE relaxed
data_BeGe2HO6
_chemical_formula_sum 'Be2 Ge4 H2 O12'
_cell_length_a 4.7734
_cell_length_b 8.1440
_cell_length_c 8.1440
_cell_angle_alpha 93.93
_cell_angle_beta 64.87
_cell_angle_gamma 64.87
_space_group_name_H-M_alt 'P 1'
_space_group_IT_number 1
loop_
_space_group_symop_operation_xyz
'x,y,z'
loop_
_atom_site_label
_atom_site_fract_x
_atom_site_fract_y
_atom_site_fract_z
_atom_site_occupancy
Be1 0.2500 0.7283 0.2717 1
Be2 0.7500 0.2717 0.7283 1
Ge1 0.1255 0.8276 0.6585 1
Ge2 0.3745 0.3415 0.1724 1
Ge3 0.8745 0.1724 0.3415 1
Ge4 0.6255 0.6585 0.8276 1
H1 0.2500 0.3446 0.6554 1
H2 0.7500 0.6554 0.3446 1
O1 0.0372 0.0637 0.7087 1
O2 0.4628 0.2913 0.9363 1
O3 0.9628 0.9363 0.2913 1
O4 0.5372 0.7087 0.0637 1
O5 0.4289 0.7157 0.4100 1
O6 0.0711 0.5900 0.2843 1
O7 0.5711 0.2843 0.5900 1
O8 0.9289 0.4100 0.7157 1
O9 0.7426 0.8109 0.7053 1
O10 0.7574 0.2947 0.1890 1
O11 0.2574 0.1890 0.2947 1
O12 0.2426 0.7053 0.8109 1
# Space group: C2/c (15)
# Energy, eV/atom: -6.124


# 10
# BeGeHRu2 GGA-PBE relaxed
data_BeGeHRu2
_chemical_formula_sum 'Be1 Ge1 H1 Ru2'
_cell_length_a 4.1047
_cell_length_b 4.1047
_cell_length_c 3.0885
_cell_angle_alpha 90.00
_cell_angle_beta 90.00
_cell_angle_gamma 90.00
_space_group_name_H-M_alt 'P 1'
_space_group_IT_number 1
loop_
_space_group_symop_operation_xyz
'x,y,z'
loop_
_atom_site_label
_atom_site_fract_x
_atom_site_fract_y
_atom_site_fract_z
_atom_site_occupancy
Ru1 0.0000 0.5000 0.0000 1
Ru2 0.5000 0.0000 0.0000 1
Ge1 0.5000 0.5000 0.5000 1
H1 0.0000 0.0000 0.0000 1
Be1 0.0000 0.0000 0.5000 1
# Space group: P4/mmm (123)
# Energy, eV/atom: -6.189
# DOS(E_F), states/eV/atom: 0.333


# 11
# BeSnGeH2 GGA-PBE relaxed
data_BeSnGeH2
_chemical_formula_sum 'Be1 Sn1 Ge1 H2'
_cell_length_a 3.8125
_cell_length_b 4.7345
_cell_length_c 3.8125
_cell_angle_alpha 90.00
_cell_angle_beta 90.00
_cell_angle_gamma 90.00
_space_group_name_H-M_alt 'P 1'
_space_group_IT_number 1
loop_
_space_group_symop_operation_xyz
'x,y,z'
loop_
_atom_site_label
_atom_site_fract_x
_atom_site_fract_y
_atom_site_fract_z
_atom_site_occupancy
Be1 0.0000 0.0000 0.0000 1
Ge1 0.0000 0.5000 0.0000 1
Sn1 0.5000 0.5000 0.5000 1
H1 0.0000 0.0000 0.5000 1
H2 0.5000 0.0000 0.0000 1
# Space group: P4/mmm (123)
# Energy, eV/atom: -3.246
# DOS(E_F), states/eV/atom: 0.286


# 12
# BeGeTeH2 GGA-PBE relaxed
data_BeGeTeH2
_chemical_formula_sum 'Be1 Ge1 Te1 H2'
_cell_length_a 3.7856
_cell_length_b 5.0864
_cell_length_c 3.7856
_cell_angle_alpha 90.00
_cell_angle_beta 90.00
_cell_angle_gamma 90.00
_space_group_name_H-M_alt 'P 1'
_space_group_IT_number 1
loop_
_space_group_symop_operation_xyz
'x,y,z'
loop_
_atom_site_label
_atom_site_fract_x
_atom_site_fract_y
_atom_site_fract_z
_atom_site_occupancy
Be1 0.0000 0.0000 0.0000 1
Ge1 0.0000 0.5000 0.0000 1
Te1 0.5000 0.5000 0.5000 1
H1 0.0000 0.0000 0.5000 1
H2 0.5000 0.0000 0.0000 1
# Space group: P4/mmm (123)
# Energy, eV/atom: -2.999
# DOS(E_F), states/eV/atom: 0.589


Repeat the seventh record exactly.
# Mn2BeGeH GGA-PBE relaxed
data_Mn2BeGeH
_chemical_formula_sum 'Mn2 Be1 Ge1 H1'
_cell_length_a 3.6838
_cell_length_b 3.6838
_cell_length_c 3.5738
_cell_angle_alpha 90.00
_cell_angle_beta 90.00
_cell_angle_gamma 90.00
_space_group_name_H-M_alt 'P 1'
_space_group_IT_number 1
loop_
_space_group_symop_operation_xyz
'x,y,z'
loop_
_atom_site_label
_atom_site_fract_x
_atom_site_fract_y
_atom_site_fract_z
_atom_site_occupancy
Be1 0.0000 0.0000 0.5000 1
Ge1 0.5000 0.5000 0.5000 1
Mn1 0.0000 0.5000 0.0000 1
Mn2 0.5000 0.0000 0.0000 1
H1 0.0000 0.0000 0.0000 1
# Space group: P4/mmm (123)
# Energy, eV/atom: -6.043
# DOS(E_F), states/eV/atom: 0.406


Q: Which of these has the lowest energy?
A: BeGeHRu2


Q: The highest energy belongs to which entry?
A: Be2GeH6